Entry P
This record from the Alexandria database describes an optimized crystal structure of Dy4Mg7Sc. The functional is PBE.

Cell: 5.2292 5.2292 13.1610 Å, 90.00 90.00 120.00°
Positions (direct):
Dy (0.3333, 0.6667, 0.1570)
Dy (0.3333, 0.6667, 0.4183)
Dy (0.6667, 0.3333, 0.5817)
Dy (0.6667, 0.3333, 0.8430)
Mg (0.0000, 0.0000, 0.2564)
Mg (0.0000, 0.0000, 0.5000)
Mg (0.0000, 0.0000, 0.7436)
Mg (0.3333, 0.6667, 0.6837)
Mg (0.3333, 0.6667, 0.9190)
Mg (0.6667, 0.3333, 0.0810)
Mg (0.6667, 0.3333, 0.3163)
Sc (0.0000, 0.0000, 0.0000)

Output
**Magnetic moment**: 0.0 μB per formula unit
**ρ**: 4.61 g/cm³

Entry Q
This record from the Alexandria database describes an optimized crystal structure of Dy4Mg7Sc. The functional is PBE.

Cell: 6.2082 6.2082 11.5370 Å, 111.23 111.23 53.33°
Positions (direct):
Dy (0.0537, 0.0537, 0.3456)
Dy (0.3453, 0.3453, 0.2175)
Dy (0.6547, 0.6547, 0.7825)
Dy (0.9463, 0.9463, 0.6544)
Mg (0.0000, 0.0000, 0.0000)
Mg (0.2077, 0.2077, 0.9236)
Mg (0.2779, 0.2779, 0.6965)
Mg (0.3671, 0.3671, 0.4914)
Mg (0.6329, 0.6329, 0.5086)
Mg (0.7221, 0.7221, 0.3035)
Mg (0.7923, 0.7923, 0.0764)
Sc (0.5000, 0.5000, 0.0000)

Output
**Magnetic moment**: 0.0 μB per formula unit
**ρ**: 4.41 g/cm³

Verdict on stability: entry Q comes out at the bottom.

Entry P
This record from the Alexandria database describes an optimized crystal structure of Dy2Mg4Sc. The functional is PBE.

Cell: 8.7789 8.7789 8.7789 Å, 144.65 144.65 50.86°
Positions (direct):
Dy (0.1079, 0.1079, 0.0000)
Dy (0.8921, 0.8921, 0.0000)
Mg (0.0000, 0.5000, 0.5000)
Mg (0.3180, 0.3180, 0.0000)
Mg (0.5000, 0.0000, 0.5000)
Mg (0.6820, 0.6820, 0.0000)
Sc (0.5000, 0.5000, 0.0000)

Output
**Magnetic moment**: 0.0 μB per formula unit
**ρ**: 3.44 g/cm³

Entry Q
This record from the Alexandria database describes an optimized crystal structure of Dy2Mg4Sc. The functional is PBE.

Cell: 8.2428 8.2428 8.2428 Å, 36.93 36.93 36.93°
Positions (direct):
Dy (0.2118, 0.2118, 0.2118)
Dy (0.7882, 0.7882, 0.7882)
Mg (0.0697, 0.0697, 0.0697)
Mg (0.3625, 0.3625, 0.3625)
Mg (0.6375, 0.6375, 0.6375)
Mg (0.9303, 0.9303, 0.9303)
Sc (0.5000, 0.5000, 0.5000)

Output
**Magnetic moment**: 0.0 μB per formula unit
**ρ**: 4.28 g/cm³

Verdict on stability: entry P comes out at the bottom.

Entry P
This record from the Alexandria database describes an optimized crystal structure of Dy6MgSc2. The functional is PBE.

Cell: 10.2910 10.2910 4.9366 Å, 90.00 90.00 90.00°
Positions (direct):
Dy (0.0025, 0.3314, 0.0000)
Dy (0.1603, 0.8397, 0.5000)
Dy (0.1686, 0.5025, 0.5000)
Dy (0.3314, 0.0025, 0.0000)
Dy (0.3397, 0.3397, 0.0000)
Dy (0.4975, 0.8314, 0.5000)
Dy (0.5025, 0.1686, 0.5000)
Dy (0.6603, 0.6603, 0.0000)
Dy (0.6686, 0.9975, 0.0000)
Dy (0.8314, 0.4975, 0.5000)
Dy (0.8397, 0.1603, 0.5000)
Dy (0.9975, 0.6686, 0.0000)
Mg (0.0000, 0.0000, 0.0000)
Mg (0.5000, 0.5000, 0.5000)
Sc (0.1725, 0.1725, 0.5000)
Sc (0.3275, 0.6725, 0.0000)
Sc (0.6725, 0.3275, 0.0000)
Sc (0.8275, 0.8275, 0.5000)

Output
**Magnetic moment**: 0.0 μB per formula unit
**ρ**: 6.92 g/cm³

Entry Q
This record from the Alexandria database describes an optimized crystal structure of Dy6MgSc2. The functional is PBE.

Cell: 9.1995 9.1995 9.2186 Å, 115.22 115.22 21.87°
Positions (direct):
Dy (0.0198, 0.0198, 0.3369)
Dy (0.1662, 0.1662, 0.9906)
Dy (0.3127, 0.3127, 0.6649)
Dy (0.6873, 0.6873, 0.3351)
Dy (0.8338, 0.8338, 0.0094)
Dy (0.9802, 0.9802, 0.6631)
Mg (0.5000, 0.5000, 0.0000)
Sc (0.3519, 0.3519, 0.3358)
Sc (0.6481, 0.6481, 0.6642)

Output
**Magnetic moment**: 0.0 μB per formula unit
**ρ**: 6.91 g/cm³

Verdict on stability: entry P comes out at the bottom.

Entry P
This record from the Alexandria database describes an optimized crystal structure of DyThMgSc. The functional is PBE.

Cell: 10.7003 10.7003 10.7003 Å, 161.68 161.68 26.02°
Positions (direct):
Dy (0.0000, 0.0000, 0.0000)
Th (0.3772, 0.3772, 0.0000)
Mg (0.6151, 0.6151, 0.0000)
Sc (0.7669, 0.7669, 0.0000)

Output
**Magnetic moment**: 0.0 μB per formula unit
**ρ**: 6.36 g/cm³

Entry Q
This record from the Alexandria database describes an optimized crystal structure of DyThMgSc. The functional is PBE.

Cell: 5.4113 5.4113 5.4113 Å, 60.00 60.00 60.00°
Positions (direct):
Dy (0.0000, 0.0000, 0.0000)
Th (0.5000, 0.5000, 0.5000)
Mg (0.2500, 0.2500, 0.2500)
Sc (0.7500, 0.7500, 0.7500)

Output
**Magnetic moment**: 0.0 μB per formula unit
**ρ**: 6.87 g/cm³

Verdict on stability: entry P comes out at the bottom.

Entry P
This record from the Alexandria database describes an optimized crystal structure of DyTmMgSc. The functional is PBE.

Cell: 5.3488 5.3488 5.3488 Å, 60.00 60.00 60.00°
Positions (direct):
Dy (0.0000, 0.0000, 0.0000)
Tm (0.5000, 0.5000, 0.5000)
Mg (0.2500, 0.2500, 0.2500)
Sc (0.7500, 0.7500, 0.7500)

Output
**Magnetic moment**: 0.0 μB per formula unit
**ρ**: 6.15 g/cm³

Entry Q
This record from the Alexandria database describes an optimized crystal structure of DyTmMgSc. The functional is PBE.

Cell: 3.4474 3.4474 9.1782 Å, 90.00 90.00 90.00°
Positions (direct):
Dy (0.0000, 0.0000, 0.0000)
Tm (0.5000, 0.5000, 0.7280)
Mg (0.5000, 0.5000, 0.2538)
Sc (0.0000, 0.0000, 0.4778)

Output
**Magnetic moment**: 0.0 μB per formula unit
**ρ**: 6.10 g/cm³

Verdict on stability: entry P comes out at the bottom.

Entry P
This record from the Alexandria database describes an optimized crystal structure of DyMgZrSc. The functional is PBE.

Cell: 3.3369 3.3369 9.1167 Å, 90.00 90.00 90.00°
Positions (direct):
Dy (0.0000, 0.0000, 0.0000)
Mg (0.5000, 0.5000, 0.7321)
Zr (0.5000, 0.5000, 0.2581)
Sc (0.0000, 0.0000, 0.4896)

Output
**Magnetic moment**: 0.0 μB per formula unit
**ρ**: 5.28 g/cm³

Entry Q
This record from the Alexandria database describes an optimized crystal structure of DyMgZrSc. The functional is PBE.

Cell: 5.1972 5.1972 5.1972 Å, 60.00 60.00 60.00°
Positions (direct):
Dy (0.0000, 0.0000, 0.0000)
Mg (0.7500, 0.7500, 0.7500)
Zr (0.5000, 0.5000, 0.5000)
Sc (0.2500, 0.2500, 0.2500)

Output
**Magnetic moment**: 1.1 μB per formula unit
**ρ**: 5.40 g/cm³

Verdict on stability: entry Q comes out at the bottom.

Entry P
This record from the Alexandria database describes an optimized crystal structure of Dy2MgSe4. The functional is PBE.

Cell: 8.2665 8.2665 8.2665 Å, 60.00 60.00 60.00°
Positions (direct):
Dy (0.0000, 0.0000, 0.0000)
Dy (0.0000, 0.0000, 0.5000)
Dy (0.0000, 0.5000, 0.0000)
Dy (0.5000, 0.0000, 0.0000)
Mg (0.3750, 0.3750, 0.3750)
Mg (0.6250, 0.6250, 0.6250)
Se (0.2363, 0.7546, 0.7546)
Se (0.2454, 0.2454, 0.2454)
Se (0.2454, 0.2454, 0.7637)
Se (0.2454, 0.7637, 0.2454)
Se (0.7546, 0.2363, 0.7546)
Se (0.7546, 0.7546, 0.2363)
Se (0.7546, 0.7546, 0.7546)
Se (0.7637, 0.2454, 0.2454)

Output
**Magnetic moment**: 0.0 μB per formula unit
**ρ**: 5.53 g/cm³

Entry Q
This record from the Alexandria database describes an optimized crystal structure of Dy2MgSe4. The functional is PBE.

Cell: 13.1836 4.0240 14.1267 Å, 90.00 90.00 90.00°
Positions (direct):
Dy (0.1161, 0.2500, 0.0746)
Dy (0.1404, 0.2500, 0.7022)
Dy (0.3596, 0.7500, 0.2022)
Dy (0.3839, 0.7500, 0.5746)
Dy (0.6161, 0.2500, 0.4254)
Dy (0.6404, 0.2500, 0.7978)
Dy (0.8596, 0.7500, 0.2978)
Dy (0.8839, 0.7500, 0.9254)
Mg (0.1102, 0.7500, 0.4574)
Mg (0.3898, 0.2500, 0.9574)
Mg (0.6102, 0.7500, 0.0426)
Mg (0.8898, 0.2500, 0.5426)
Se (0.0060, 0.7500, 0.6182)
Se (0.0293, 0.2500, 0.8821)
Se (0.2241, 0.2500, 0.2479)
Se (0.2390, 0.2500, 0.5139)
Se (0.2610, 0.7500, 0.0139)
Se (0.2759, 0.7500, 0.7479)
Se (0.4707, 0.7500, 0.3821)
Se (0.4940, 0.2500, 0.1182)
Se (0.5060, 0.7500, 0.8818)
Se (0.5293, 0.2500, 0.6179)
Se (0.7241, 0.2500, 0.2521)
Se (0.7390, 0.2500, 0.9861)
Se (0.7610, 0.7500, 0.4861)
Se (0.7759, 0.7500, 0.7521)
Se (0.9707, 0.7500, 0.1179)
Se (0.9940, 0.2500, 0.3818)

Output
**Magnetic moment**: 0.0 μB per formula unit
**ρ**: 5.90 g/cm³

Entry R
This record from the Alexandria database describes an optimized crystal structure of Dy2MgSe4. The functional is PBE.

Cell: 7.5337 7.5337 7.5337 Å, 110.59 110.59 107.25°
Positions (direct):
Dy (0.0061, 0.6250, 0.8811)
Dy (0.3750, 0.2561, 0.3811)
Dy (0.7439, 0.1250, 0.1189)
Dy (0.8750, 0.9939, 0.6189)
Mg (0.2500, 0.7500, 0.5000)
Mg (0.5000, 0.5000, 0.0000)
Se (0.0090, 0.8791, 0.2624)
Se (0.1209, 0.3833, 0.1299)
Se (0.1333, 0.3709, 0.6299)
Se (0.2534, 0.9910, 0.8701)
Se (0.4966, 0.8667, 0.2376)
Se (0.6167, 0.7466, 0.7376)
Se (0.6291, 0.2590, 0.7624)
Se (0.7410, 0.5034, 0.3701)

Output
**Magnetic moment**: 0.0 μB per formula unit
**ρ**: 6.72 g/cm³

Verdict on stability: entry R comes out at the bottom.

Entry P
This record from the Alexandria database describes an optimized crystal structure of Dy2MgSe4. The functional is PBE.

Cell: 7.4820 8.6551 13.8393 Å, 98.70 95.24 90.15°
Positions (direct):
Dy (0.1325, 0.4442, 0.2990)
Dy (0.1334, 0.9574, 0.3043)
Dy (0.2562, 0.1274, 0.9991)
Dy (0.3651, 0.3007, 0.6968)
Dy (0.6349, 0.6993, 0.3032)
Dy (0.7438, 0.8726, 0.0009)
Dy (0.8666, 0.0426, 0.6957)
Dy (0.8675, 0.5558, 0.7010)
Mg (0.2510, 0.6203, 0.9958)
Mg (0.3661, 0.8023, 0.7070)
Mg (0.6339, 0.1977, 0.2930)
Mg (0.7490, 0.3797, 0.0042)
Se (0.0958, 0.4051, 0.1008)
Se (0.1048, 0.8974, 0.1057)
Se (0.1934, 0.5452, 0.6280)
Se (0.1961, 0.0206, 0.6269)
Se (0.3081, 0.7183, 0.3790)
Se (0.3320, 0.2202, 0.3742)
Se (0.3926, 0.8433, 0.8948)
Se (0.4078, 0.3556, 0.8950)
Se (0.5922, 0.6444, 0.1050)
Se (0.6074, 0.1567, 0.1052)
Se (0.6680, 0.7798, 0.6258)
Se (0.6919, 0.2817, 0.6210)
Se (0.8039, 0.9794, 0.3731)
Se (0.8066, 0.4548, 0.3720)
Se (0.8952, 0.1026, 0.8943)
Se (0.9042, 0.5949, 0.8992)

Output
**Magnetic moment**: 0.0 μB per formula unit
**ρ**: 5.01 g/cm³

Entry Q
This record from the Alexandria database describes an optimized crystal structure of Dy2MgSe4. The functional is PBE.

Cell: 14.1518 8.2350 6.8481 Å, 90.00 90.00 90.00°
Positions (direct):
Dy (0.0000, 0.0000, 0.0000)
Dy (0.0000, 0.5000, 0.0000)
Dy (0.2348, 0.2500, 0.4959)
Dy (0.2652, 0.7500, 0.9959)
Dy (0.5000, 0.0000, 0.5000)
Dy (0.5000, 0.5000, 0.5000)
Dy (0.7348, 0.2500, 0.0041)
Dy (0.7652, 0.7500, 0.5041)
Mg (0.0935, 0.7500, 0.4131)
Mg (0.4065, 0.2500, 0.9131)
Mg (0.5935, 0.7500, 0.0869)
Mg (0.9065, 0.2500, 0.5869)
Se (0.0733, 0.2500, 0.7483)
Se (0.0900, 0.7500, 0.7838)
Se (0.1705, 0.5056, 0.2342)
Se (0.1705, 0.9944, 0.2342)
Se (0.3295, 0.0056, 0.7342)
Se (0.3295, 0.4944, 0.7342)
Se (0.4100, 0.2500, 0.2838)
Se (0.4267, 0.7500, 0.2483)
Se (0.5733, 0.2500, 0.7517)
Se (0.5900, 0.7500, 0.7162)
Se (0.6705, 0.5056, 0.2658)
Se (0.6705, 0.9944, 0.2658)
Se (0.8295, 0.0056, 0.7658)
Se (0.8295, 0.4944, 0.7658)
Se (0.9100, 0.2500, 0.2162)
Se (0.9267, 0.7500, 0.2517)

Output
**Magnetic moment**: 0.0 μB per formula unit
**ρ**: 5.54 g/cm³

Verdict on stability: entry P comes out at the bottom.

Entry P
This record from the Alexandria database describes an optimized crystal structure of DyMgSe3. The functional is PBE.

Cell: 7.2939 7.2939 6.5762 Å, 107.53 107.53 109.26°
Positions (direct):
Dy (0.2268, 0.2268, 0.2084)
Dy (0.7732, 0.7732, 0.7916)
Mg (0.3311, 0.6689, 0.0000)
Mg (0.6689, 0.3311, 0.0000)
Se (0.1183, 0.8111, 0.2135)
Se (0.1889, 0.8817, 0.7865)
Se (0.4109, 0.4109, 0.7024)
Se (0.5891, 0.5891, 0.2976)
Se (0.8111, 0.1183, 0.2135)
Se (0.8817, 0.1889, 0.7865)

Output
**Magnetic moment**: 0.0 μB per formula unit
**ρ**: 4.99 g/cm³

Entry Q
This record from the Alexandria database describes an optimized crystal structure of DyMgSe3. The functional is PBE.

Cell: 7.3751 7.3751 7.3751 Å, 57.42 57.42 57.42°
Positions (direct):
Dy (0.1535, 0.1535, 0.1535)
Dy (0.8465, 0.8465, 0.8465)
Mg (0.3470, 0.3470, 0.3470)
Mg (0.6530, 0.6530, 0.6530)
Se (0.0647, 0.4409, 0.7367)
Se (0.2633, 0.9353, 0.5591)
Se (0.4409, 0.7367, 0.0647)
Se (0.5591, 0.2633, 0.9353)
Se (0.7367, 0.0647, 0.4409)
Se (0.9353, 0.5591, 0.2633)

Output
**Magnetic moment**: 0.0 μB per formula unit
**ρ**: 5.27 g/cm³

Verdict on stability: entry P comes out at the bottom.

Entry P
This record from the Alexandria database describes an optimized crystal structure of Sm2Dy2Mg. The functional is PBE.

Cell: 12.1178 12.1178 12.1178 Å, 162.87 162.87 24.32°
Positions (direct):
Sm (0.0936, 0.0936, 0.0000)
Sm (0.9064, 0.9064, 0.0000)
Dy (0.3022, 0.3022, 0.0000)
Dy (0.6978, 0.6978, 0.0000)
Mg (0.5000, 0.5000, 0.0000)

Output
**Magnetic moment**: 0.0 μB per formula unit
**ρ**: 6.99 g/cm³

Entry Q
This record from the Alexandria database describes an optimized crystal structure of Sm2Dy2Mg. The functional is PBE.

Cell: 9.2721 9.2721 9.2721 Å, 152.58 152.58 39.16°
Positions (direct):
Sm (0.0925, 0.0925, 0.0000)
Sm (0.9075, 0.9075, 0.0000)
Dy (0.2500, 0.7500, 0.5000)
Dy (0.7500, 0.2500, 0.5000)
Mg (0.5000, 0.5000, 0.0000)

Output
**Magnetic moment**: 0.0 μB per formula unit
**ρ**: 6.40 g/cm³

Verdict on stability: entry Q comes out at the bottom.